Model a:
A relaxed RbNa2SiAu crystal, computed with GGA-PBE.

Cell: 5.731 5.731 4.799 Å, 90.00 90.00 90.00°
Sites, in units of the cell vectors:
Na (0.500, 0.000, 0.000)
Na (0.000, 0.500, 0.000)
Rb (0.500, 0.500, 0.500)
Au (0.000, 0.000, 0.500)
Si (0.000, 0.000, 0.000)

Computed properties:
Crystal system: tetragonal


Model b:
A relaxed RbNa2SiAu crystal, computed with GGA-PBE.

Cell: 5.775 5.775 4.722 Å, 90.00 90.00 90.00°
Sites, in units of the cell vectors:
Si (0.000, 0.000, 0.500)
Na (0.500, 0.000, 0.000)
Na (0.000, 0.500, 0.000)
Rb (0.500, 0.500, 0.500)
Au (0.000, 0.000, 0.000)

Computed properties:
Crystal system: tetragonal


Energy comparison, zero being the most stable, in kJ/mol of atoms: model a 0.0; model b 0.8.